# 1
Density functional theory data (PBE) for AuSeBr2 after structural relaxation.

Cell: 4.382 4.382 7.723 Å, 90.00 90.00 127.45°
Positions (direct):
1 Au 0.500 0.500 0.750
2 Se 0.500 0.500 0.250
3 Br 0.000 0.000 0.511
4 Br 0.000 0.000 0.989

Properties
DFT total energy	-2.229	eV per atom
raw formation energy	1.19	eV per formula unit
energy above the most stable polymorph in this dataset	344	meV per atom



# 2
Density functional theory data (PBE) for Pm3Al4Si3 after structural relaxation.

Cell: 8.250 8.250 8.250 Å, 109.47 109.47 109.47°
Positions (direct):
1 Al 0.000 0.000 0.329
2 Al 0.500 0.829 0.500
3 Al 0.829 0.500 0.000
4 Al 0.500 0.329 0.500
5 Al 0.000 0.000 0.829
6 Al 0.171 0.671 0.671
7 Al 0.671 0.171 0.171
8 Al 0.329 0.500 0.000
9 Si 0.875 0.625 0.750
10 Si 0.250 0.375 0.625
11 Si 0.375 0.250 0.125
12 Si 0.125 0.750 0.375
13 Si 0.750 0.125 0.875
14 Si 0.625 0.875 0.250
15 Pm 0.750 0.625 0.375
16 Pm 0.625 0.750 0.875
17 Pm 0.250 0.875 0.125
18 Pm 0.875 0.250 0.625
19 Pm 0.375 0.125 0.750
20 Pm 0.125 0.375 0.250

Properties
DFT total energy	-4.936	eV per atom
raw formation energy	-3.87	eV per formula unit



# 3
Density functional theory data (PBE) for KBa2NaNi after structural relaxation.

Cell: 6.073 6.073 6.259 Å, 90.00 90.00 90.00°
Positions (direct):
1 Ba 0.000 0.500 0.000
2 Ba 0.500 0.000 0.000
3 Ni 0.000 0.000 0.000
4 Na 0.000 0.000 0.500
5 K 0.500 0.500 0.500

Properties
DFT total energy	-2.268	eV per atom
energy above the most stable polymorph in this dataset	0	meV per atom
formation energy from the elements	140	meV per atom



# 4
Density functional theory data (PBE) for Li2TlTc after structural relaxation.

Cell: 5.574 5.574 5.574 Å, 149.24 129.09 60.67°
Positions (direct):
1 Tc 0.750 0.250 0.500
2 Li 0.507 0.507 0.000
3 Li 0.993 0.993 0.000
4 Tl 0.250 0.750 0.500

Properties
DFT total energy	-3.859	eV per atom
energy above the most stable polymorph in this dataset	0	meV per atom
formation energy from the elements	281	meV per atom



# 5
Density functional theory data (PBE) for Y2ZrBr after structural relaxation.

Cell: 5.316 3.524 5.969 Å, 72.75 90.00 90.00°
Positions (direct):
1 Zr 0.000 0.716 0.444
2 Y 0.000 0.976 0.922
3 Y 0.500 0.270 0.336
4 Br 0.500 0.538 0.797

Properties
DFT total energy	-6.022	eV per atom
raw formation energy	-0.94	eV per formula unit
energy above the most stable polymorph in this dataset	239	meV per atom



# 6
Density functional theory data (PBE) for SiNiPt after structural relaxation.

Cell: 5.607 4.140 7.288 Å, 90.00 102.47 90.00°
Positions (direct):
1 Si 0.479 0.883 0.080
2 Si 0.479 0.383 0.580
3 Si 0.979 0.117 0.580
4 Si 0.979 0.617 0.080
5 Pt 0.375 0.891 0.730
6 Pt 0.875 0.609 0.730
7 Pt 0.875 0.109 0.230
8 Pt 0.375 0.391 0.230
9 Ni 0.587 0.894 0.439
10 Ni 0.087 0.606 0.439
11 Ni 0.587 0.394 0.939
12 Ni 0.087 0.106 0.939

Properties
DFT total energy	-6.277	eV per atom
raw formation energy	-1.59	eV per formula unit



# 7
Density functional theory data (PBE) for YC5 after structural relaxation.

Cell: 3.633 3.633 6.011 Å, 90.00 90.00 90.00°
Positions (direct):
1 C 0.000 0.000 0.500
2 C 0.500 0.500 0.606
3 C 0.500 0.500 0.394
4 C 0.000 0.000 0.108
5 C 0.000 0.000 0.892
6 Y 0.500 0.500 0.000

Properties
DFT total energy	-6.890	eV per atom
energy above the most stable polymorph in this dataset	1368	meV per atom
formation energy from the elements	1874	meV per atom



# 8
Density functional theory data (PBE) for DyZrAgPd after structural relaxation.

Cell: 4.926 4.926 4.926 Å, 60.00 60.00 60.00°
Positions (direct):
1 Dy 0.500 0.500 0.500
2 Pd 0.750 0.750 0.750
3 Ag 0.250 0.250 0.250
4 Zr 0.000 0.000 0.000

Properties
DFT total energy	-5.668	eV per atom
formation energy from the elements	-369	meV per atom



# 9
Density functional theory data (PBE) for Tb2PmErTm after structural relaxation.

Cell: 7.191 8.366 7.081 Å, 126.20 90.00 90.00°
Positions (direct):
1 Tm 0.750 0.000 0.001
2 Tm 0.250 0.000 0.999
3 Tb 0.500 0.308 0.000
4 Tb 0.000 0.308 0.000
5 Tb 0.000 0.692 0.000
6 Tb 0.500 0.692 0.000
7 Pm 0.750 0.272 0.543
8 Pm 0.250 0.728 0.457
9 Er 0.250 0.276 0.552
10 Er 0.750 0.724 0.448

Properties
DFT total energy	-4.220	eV per atom
formation energy from the elements	389	meV per atom



# 10
Density functional theory data (PBE) for Cu2Br after structural relaxation.

Cell: 5.848 5.848 7.942 Å, 90.00 90.00 120.00°
Positions (direct):
1 Cu 0.000 0.000 0.500
2 Cu 0.712 0.856 0.750
3 Cu 0.144 0.288 0.750
4 Cu 0.856 0.712 0.250
5 Cu 0.144 0.856 0.750
6 Cu 0.288 0.144 0.250
7 Cu 0.856 0.144 0.250
8 Cu 0.000 0.000 0.000
9 Br 0.667 0.333 0.459
10 Br 0.333 0.667 0.541
11 Br 0.333 0.667 0.959
12 Br 0.667 0.333 0.041

Properties
DFT total energy	-3.229	eV per atom
raw formation energy	0.18	eV per formula unit
energy above the most stable polymorph in this dataset	61	meV per atom



# 11
Density functional theory data (PBE) for MnNiMo2N after structural relaxation.

Cell: 4.072 4.072 3.783 Å, 90.00 90.00 90.00°
Positions (direct):
1 Mo 0.000 0.500 0.000
2 Mo 0.500 0.000 0.000
3 Ni 0.500 0.500 0.500
4 Mn 0.000 0.000 0.500
5 N 0.000 0.000 0.000

Properties
DFT total energy	-9.071	eV per atom
raw formation energy	-0.42	eV per formula unit



# 12
Density functional theory data (PBE) for Sr2TaAlO6 after structural relaxation.

Cell: 5.557 5.557 5.557 Å, 119.99 119.99 90.00°
Positions (direct):
1 Al 0.000 0.000 0.000
2 O 0.240 0.749 0.000
3 O 0.246 0.246 0.492
4 O 0.251 0.240 0.000
5 O 0.754 0.754 0.508
6 O 0.749 0.760 0.000
7 O 0.760 0.251 0.000
8 Sr 0.750 0.250 0.500
9 Sr 0.250 0.750 0.500
10 Ta 0.500 0.500 0.000

Properties
DFT total energy	-7.941	eV per atom
raw formation energy	-30.70	eV per formula unit



# 13
Density functional theory data (PBE) for Sc4SiPb after structural relaxation.

Cell: 5.790 5.790 5.790 Å, 60.00 60.00 60.00°
Positions (direct):
1 Sc 0.375 0.375 0.874
2 Sc 0.874 0.375 0.375
3 Sc 0.375 0.375 0.375
4 Sc 0.375 0.874 0.375
5 Pb 0.000 0.000 0.000
6 Si 0.750 0.750 0.750

Properties
DFT total energy	-5.565	eV per atom
raw formation energy	1.07	eV per formula unit



# 14
Density functional theory data (PBE) for FeRe4Au after structural relaxation.

Cell: 5.179 5.179 5.179 Å, 60.00 60.00 60.00°
Positions (direct):
1 Re 0.625 0.126 0.625
2 Re 0.126 0.625 0.625
3 Re 0.625 0.625 0.126
4 Re 0.625 0.625 0.625
5 Au 0.250 0.250 0.250
6 Fe 0.000 0.000 0.000

Properties
DFT total energy	-9.600	eV per atom
formation energy from the elements	656	meV per atom



# 15
Density functional theory data (PBE) for ZnFeCo after structural relaxation.

Cell: 3.930 3.930 3.930 Å, 60.00 60.00 60.00°
Positions (direct):
1 Fe 0.000 0.000 0.000
2 Co 0.750 0.750 0.750
3 Zn 0.500 0.500 0.500

Properties
DFT total energy	-5.218	eV per atom
energy above the most stable polymorph in this dataset	404	meV per atom
formation energy from the elements	396	meV per atom



# 16
Density functional theory data (PBE) for Pr2Mn2BeN6 after structural relaxation.

Cell: 5.498 5.498 6.054 Å, 62.99 62.99 60.00°
Positions (direct):
1 Pr 0.769 0.769 0.692
2 Pr 0.231 0.231 0.308
3 N 0.235 0.755 0.775
4 N 0.755 0.235 0.775
5 N 0.765 0.245 0.225
6 N 0.245 0.765 0.225
7 N 0.765 0.765 0.225
8 N 0.235 0.235 0.775
9 Mn 0.570 0.570 0.291
10 Mn 0.430 0.430 0.709
11 Be 0.000 0.000 0.000

Properties
DFT total energy	-7.868	eV per atom
raw formation energy	-4.97	eV per formula unit



# 17
Density functional theory data (PBE) for Ce6Sb3P after structural relaxation.

Cell: 6.159 8.409 11.169 Å, 90.00 90.53 90.00°
Positions (direct):
1 Ce 0.421 0.817 0.434
2 Ce 0.906 0.637 0.557
3 Ce 0.626 0.483 0.264
4 Ce 0.079 0.317 0.066
5 Ce 0.921 0.683 0.934
6 Ce 0.406 0.863 0.057
7 Ce 0.579 0.183 0.566
8 Ce 0.874 0.983 0.236
9 Ce 0.094 0.363 0.443
10 Ce 0.126 0.017 0.764
11 Ce 0.594 0.137 0.943
12 Ce 0.374 0.517 0.736
13 Sb 0.104 0.638 0.240
14 Sb 0.896 0.362 0.760
15 Sb 0.396 0.138 0.260
16 Sb 0.500 0.500 0.000
17 Sb 0.000 0.000 0.500
18 Sb 0.604 0.862 0.740
19 P 0.500 0.500 0.500
20 P 0.000 0.000 0.000

Properties
DFT total energy	-6.134	eV per atom
raw formation energy	-7.96	eV per formula unit



# 18
Density functional theory data (PBE) for ScAg4F7 after structural relaxation.

Cell: 4.006 7.156 9.218 Å, 118.38 102.54 90.00°
Positions (direct):
1 Sc 0.000 0.000 0.000
2 Ag 0.578 0.489 0.155
3 Ag 0.422 0.511 0.845
4 Ag 0.713 0.149 0.425
5 Ag 0.287 0.851 0.575
6 F 0.989 0.701 0.979
7 F 0.300 0.213 0.599
8 F 0.128 0.144 0.256
9 F 0.700 0.787 0.401
10 F 0.872 0.856 0.744
11 F 0.500 0.000 0.000
12 F 0.011 0.299 0.021

Properties
DFT total energy	-4.480	eV per atom
raw formation energy	-22.92	eV per formula unit



# 19
Density functional theory data (PBE) for Zr2TaRu after structural relaxation.

Cell: 9.479 9.479 9.479 Å, 18.96 18.96 18.96°
Positions (direct):
1 Ru 0.505 0.505 0.505
2 Ta 0.240 0.240 0.240
3 Zr 0.996 0.996 0.996
4 Zr 0.759 0.759 0.759

Properties
DFT total energy	-9.555	eV per atom
energy above the most stable polymorph in this dataset	248	meV per atom
formation energy from the elements	2	meV per atom



# 20
Density functional theory data (PBE) for Sc4SnSb2 after structural relaxation.

Cell: 7.848 7.848 7.839 Å, 108.77 108.76 110.93°
Positions (direct):
1 Sb 0.625 0.375 0.750
2 Sb 0.125 0.375 0.750
3 Sb 0.625 0.875 0.250
4 Sb 0.625 0.375 0.250
5 Sc 0.311 0.497 0.186
6 Sc 0.311 0.125 0.814
7 Sc 0.939 0.625 0.686
8 Sc 0.875 0.689 0.186
9 Sc 0.503 0.689 0.814
10 Sc 0.747 0.061 0.686
11 Sc 0.375 0.061 0.314
12 Sc 0.939 0.253 0.314
13 Sn 0.000 0.000 0.000
14 Sn 0.250 0.750 0.500

Properties
DFT total energy	-5.974	eV per atom
raw formation energy	-4.25	eV per formula unit



# 21
Density functional theory data (PBE) for NbPd3Br after structural relaxation.

Cell: 4.714 4.714 4.714 Å, 90.00 90.00 90.00°
Positions (direct):
1 Pd 0.500 0.000 0.000
2 Pd 0.000 0.000 0.500
3 Pd 0.000 0.500 0.000
4 Nb 0.500 0.500 0.500
5 Br 0.000 0.000 0.000

Properties
DFT total energy	-4.530	eV per atom
raw formation energy	4.67	eV per formula unit
energy above the most stable polymorph in this dataset	39	meV per atom



# 22
Density functional theory data (PBE) for LiZn2Pt9 after structural relaxation.

Cell: 3.914 3.914 11.751 Å, 90.00 90.00 90.00°
Positions (direct):
1 Pt 0.000 0.500 0.164
2 Pt 0.500 0.500 0.000
3 Pt 0.000 0.500 0.836
4 Pt 0.500 0.000 0.500
5 Pt 0.500 0.500 0.332
6 Pt 0.000 0.500 0.500
7 Pt 0.500 0.500 0.668
8 Pt 0.500 0.000 0.164
9 Pt 0.500 0.000 0.836
10 Li 0.000 0.000 0.000
11 Zn 0.000 0.000 0.667
12 Zn 0.000 0.000 0.333

Properties
DFT total energy	-5.261	eV per atom
formation energy from the elements	-358	meV per atom



# 23
Density functional theory data (PBE) for PrDyEr14 after structural relaxation.

Cell: 7.077 7.077 11.378 Å, 90.00 90.00 119.98°
Positions (direct):
1 Er 0.374 0.125 0.753
2 Er 0.374 0.125 0.247
3 Er 0.875 0.125 0.752
4 Er 0.042 0.458 0.000
5 Er 0.708 0.792 0.500
6 Er 0.875 0.626 0.753
7 Er 0.875 0.626 0.247
8 Er 0.208 0.292 0.500
9 Er 0.542 0.458 0.000
10 Er 0.542 0.958 0.000
11 Er 0.375 0.625 0.249
12 Er 0.042 0.958 0.000
13 Er 0.375 0.625 0.751
14 Er 0.875 0.125 0.248
15 Dy 0.208 0.792 0.500
16 Pr 0.708 0.292 0.500

Properties
DFT total energy	-4.570	eV per atom
formation energy from the elements	9	meV per atom